# PBE-GGA RbCoPd2, relaxed
data_RbCoPd2
_chemical_formula_sum 'Rb4 Co4 Pd8'
_cell_length_a 5.400
_cell_length_b 5.400
_cell_length_c 15.935
_cell_angle_alpha 90.00
_cell_angle_beta 90.00
_cell_angle_gamma 90.00
_symmetry_space_group_name_H-M 'I 41/a m d'
_symmetry_Int_Tables_number 141
loop_
_symmetry_equiv_pos_as_xyz
'x,y,z'
'-x,-y,-z'
'-y+1/4,x+3/4,z+1/4'
'y+1/4,-x+3/4,-z+1/4'
'-x+1/2,-y,z+1/2'
'x+1/2,y,-z+1/2'
'y+1/4,-x+1/4,z+3/4'
'-y+1/4,x+1/4,-z+3/4'
'x,-y,-z'
'-x,y,z'
'-y+1/4,-x+1/4,-z+3/4'
'y+1/4,x+1/4,z+3/4'
'-x+1/2,y,-z+1/2'
'x+1/2,-y,z+1/2'
'y+1/4,x+3/4,-z+1/4'
'-y+1/4,-x+3/4,z+1/4'
'x+1/2,y+1/2,z+1/2'
'-x+1/2,-y+1/2,-z+1/2'
'-y+3/4,x+1/4,z+3/4'
'y+3/4,-x+1/4,-z+3/4'
'-x,-y+1/2,z'
'x,y+1/2,-z'
'y+3/4,-x+3/4,z+1/4'
'-y+3/4,x+3/4,-z+1/4'
'x+1/2,-y+1/2,-z+1/2'
'-x+1/2,y+1/2,z+1/2'
'-y+3/4,-x+3/4,-z+1/4'
'y+3/4,x+3/4,z+1/4'
'-x,y+1/2,-z'
'x,-y+1/2,z'
'y+3/4,x+1/4,-z+3/4'
'-y+3/4,-x+1/4,z+3/4'
loop_
_atom_site_label
_atom_site_fract_x
_atom_site_fract_y
_atom_site_fract_z
Rb1 0.000 0.250 0.375
Co1 0.000 0.250 0.875
Pd1 0.000 0.000 0.000
# - Polymorph energy (0 for the lowest one): 0 meV/atom
# - Magnetic moment: 2.8 μB/f.u.